No. 1
Pm8GaIr3I4 | PBE | relaxed

```
Pm8GaIr3I4
1.0
-2.096 3.448 7.464
-5.757 -7.218 1.717
8.101 -1.877 -1.681
Pm Ga Ir I
8 1 3 4
Cartesian
3.251 -5.923 1.344
-0.621 -5.026 2.147
2.021 -2.337 1.647
2.250 -4.275 4.911
-2.002 -1.372 2.589
-1.774 -3.310 5.853
0.868 -0.621 5.353
-3.004 0.276 6.156
-2.879 -3.609 0.859
-3.927 -1.885 4.590
0.124 -2.823 3.750
1.172 -4.547 0.018
-1.048 1.724 3.732
3.002 0.786 2.892
0.000 0.000 0.000
4.050 -0.938 -0.840
```

Computed properties:
The density comes out at 7.69 g/cm³. The space-group type is No. 166. As for the formation energy (no corrections): -0.90 eV/atom. The value obtained for the uncorrected energy is -5.510 eV/atom. Its spin magnetization is 0.00 μB/f.u.



No. 2
Pr8Ga3IrI4 | PBE | relaxed

```
Pr8Ga3IrI4
1.0
-0.332 -1.111 -8.677
-5.020 -7.761 1.186
-2.966 7.442 3.576
Pr Ga Ir I
8 3 1 4
Cartesian
-6.462 1.571 2.349
-4.926 -2.309 0.484
-3.057 1.399 -0.062
-6.635 0.991 -2.176
-1.683 -2.422 -1.738
-5.261 -2.829 -3.852
-3.392 0.878 -4.399
-1.856 -3.001 -6.264
-2.676 -4.436 -3.745
-4.159 -0.715 -1.957
-3.993 -0.159 2.381
-2.510 -3.881 0.593
-0.166 -0.556 -4.338
-1.649 3.166 -2.550
0.000 0.000 0.000
-1.483 3.721 1.788
```

Computed properties:
The density comes out at 6.50 g/cm³. The space-group type is No. 12. As for the formation energy (no corrections): -0.79 eV/atom. The value obtained for the uncorrected energy is -4.691 eV/atom. Its spin magnetization is 0.00 μB/f.u.



No. 3
Rb2GaIrI6 | PBE | relaxed

```
Rb2GaIrI6
1.0
8.246 0.000 0.000
0.000 8.246 0.000
4.123 4.123 5.825
I Ir Ga Rb
6 1 1 2
Cartesian
4.123 4.123 3.111
8.246 8.246 2.713
1.918 1.918 0.000
6.328 6.328 0.000
6.328 1.918 0.000
1.918 6.328 0.000
0.000 0.000 0.000
4.123 4.123 0.000
8.246 4.123 2.912
4.123 8.246 2.912
```

Computed properties:
The density comes out at 5.01 g/cm³. The space-group type is No. 139. As for the formation energy (no corrections): -0.66 eV/atom. The value obtained for the uncorrected energy is -2.976 eV/atom. Its spin magnetization is 0.00 μB/f.u.



No. 4
Ga2IrRhI | PBE | relaxed

```
Ga2IrRhI
1.0
-1.806 4.072 1.456
1.167 -1.395 5.348
4.215 2.011 -0.395
I Ir Rh Ga
1 1 1 2
Cartesian
0.583 -0.698 2.674
0.000 0.000 0.000
1.788 2.344 3.205
2.108 1.005 -0.197
-0.903 2.036 0.728
```

Computed properties:
The density comes out at 7.51 g/cm³. The space-group type is No. 123. As for the formation energy (no corrections): 0.61 eV/atom. The value obtained for the uncorrected energy is -4.156 eV/atom. Its spin magnetization is 0.94 μB/f.u.



No. 5
GaSb2IrI | PBE | relaxed

```
GaSb2IrI
1.0
-4.966 1.284 0.014
-0.147 -0.514 -5.101
-1.474 -5.710 0.618
I Sb Ir Ga
1 2 1 1
Cartesian
-0.737 -2.855 0.309
-0.074 -0.257 -2.551
-2.483 0.642 0.007
0.000 0.000 0.000
-3.294 -2.470 -2.235
```

Computed properties:
The density comes out at 6.73 g/cm³. The space-group type is No. 123. As for the formation energy (no corrections): 0.41 eV/atom. The value obtained for the uncorrected energy is -3.923 eV/atom. Its spin magnetization is 0.00 μB/f.u.



No. 6
GaSb2IrI | PBE | relaxed

```
GaSb2IrI
1.0
-0.518 3.500 3.809
3.647 -2.468 2.764
3.711 2.981 -2.234
I Sb Ir Ga
1 2 1 1
Cartesian
1.855 1.491 -1.117
1.823 -1.234 1.382
-0.259 1.750 1.904
3.419 2.007 2.169
0.000 0.000 0.000
```

Computed properties:
The density comes out at 7.39 g/cm³. The space-group type is No. 123. As for the formation energy (no corrections): 1.31 eV/atom. The value obtained for the uncorrected energy is -3.028 eV/atom. Its spin magnetization is 0.81 μB/f.u.